# 1
This record from Alexandria via LeMat-Bulk describes Ta2Ag3 after structural relaxation. The functional is GGA-PBE.

Unit cell a=12.495 b=12.495 c=12.495 alpha=13.29 beta=13.29 gamma=13.29
Sites, in units of the cell vectors:
Ta (0.600, 0.600, 0.600)
Ta (0.400, 0.400, 0.400)
Ag (0.000, 0.000, 0.000)
Ag (0.800, 0.800, 0.800)
Ag (0.200, 0.200, 0.200)

Output
space group	R-3m (166)
crystal system	trigonal

# 2
This record from Alexandria via LeMat-Bulk describes Ta3Ag after structural relaxation. The functional is GGA-PBE.

Unit cell a=5.537 b=5.537 c=5.537 alpha=117.24 beta=117.24 gamma=117.24
Sites, in units of the cell vectors:
Ag (0.000, 0.000, 0.000)
Ta (0.000, 0.500, 0.500)
Ta (0.500, 0.000, 0.500)
Ta (0.500, 0.500, 0.000)

Output
space group	R-3m (166)
crystal system	trigonal

# 3
This record from Alexandria via LeMat-Bulk describes TaAg2 after structural relaxation. The functional is GGA-PBE.

Unit cell a=4.990 b=4.990 c=2.760 alpha=90.00 beta=90.00 gamma=90.00
Sites, in units of the cell vectors:
Ag (0.000, 0.500, 0.500)
Ag (0.500, 0.000, 0.500)
Ta (0.000, 0.000, 0.000)

Output
space group	P4/mmm (123)
crystal system	tetragonal

Number 1: formation energy from the elements 0.299 eV/atom, size of the total moment 0.000 μB per formula unit. Number 2: formation energy from the elements 0.242 eV/atom, size of the total moment 0.000 μB per formula unit. Number 3: formation energy from the elements 0.763 eV/atom, size of the total moment 0.000 μB per formula unit.